Here is Li4V2OF7 after structural relaxation from Alexandria via LeMat-Bulk. Energies are from GGA-PBEsol.

Computed properties:
The value obtained for the raw formation energy is -2.715 eV/atom.

Cell: 5.881 5.881 5.827 Å, 119.33 119.33 61.89°
Sites, in units of the cell vectors:
1 Li 0.000 0.000 0.000
2 Li 0.005 0.005 0.507
3 Li 0.393 0.393 0.635
4 Li 0.631 0.631 0.399
5 V 0.516 0.999 0.995
6 V 0.999 0.516 0.995
7 O 0.758 0.758 0.796
8 F 0.235 0.762 0.257
9 F 0.247 0.785 0.770
10 F 0.253 0.253 0.233
11 F 0.254 0.254 0.763
12 F 0.761 0.761 0.254
13 F 0.762 0.235 0.257
14 F 0.785 0.247 0.770